Density functional theory data (PBE) for a relaxed structure of Na3LiY.

Cell lengths 6.482, 6.482, 6.482 Å; angles 90.00, 90.00, 90.00 degrees
Last column: magnetic moment on the atom in μB.
Atoms (fractional coordinates):
Y 0.000 0.000 0.000  0.57
Na 0.000 0.500 0.000  0.02
Na 0.000 0.000 0.500  0.03
Na 0.500 0.000 0.000  0.02
Li 0.500 0.500 0.500  0.00

Calculated values
* raw total energy: -7.789 eV/f.u.
* SG: Pm-3m, No. 221
* crystal system: cubic



Density functional theory data (PBE) for a relaxed structure of Na3LiY.

Cell lengths 5.428, 5.428, 5.428 Å; angles 90.00, 90.00, 90.00 degrees
Atoms (fractional coordinates):
Y 0.500 0.500 0.500
Na 0.000 0.500 0.000
Na 0.000 0.000 0.500
Na 0.500 0.000 0.000
Li 0.000 0.000 0.000

Calculated values
* raw total energy: -10.065 eV/f.u.
* SG: Pm-3m, No. 221
* crystal system: cubic



Density functional theory data (PBE) for a relaxed structure of Na2LiZn.

Cell lengths 3.292, 3.292, 11.660 Å; angles 81.89, 81.89, 60.00 degrees
Atoms (fractional coordinates):
Na 0.087 0.087 0.738
Na 0.913 0.913 0.262
Zn 0.000 0.000 0.000
Li 0.500 0.500 0.500

Calculated values
* raw total energy: -5.048 eV/f.u.
* SG: R-3m, No. 166
* crystal system: trigonal



Density functional theory data (PBE) for a relaxed structure of NaLi15Zn4.

Cell lengths 4.287, 4.287, 19.460 Å; angles 90.00, 90.00, 90.00 degrees
Atoms (fractional coordinates):
Na 0.000 0.000 0.000
Li 0.500 0.500 0.000
Li 0.500 0.500 0.218
Li 0.500 0.500 0.406
Li 0.500 0.500 0.594
Li 0.500 0.500 0.782
Li 0.500 0.000 0.125
Li 0.500 0.000 0.313
Li 0.500 0.000 0.500
Li 0.500 0.000 0.687
Li 0.500 0.000 0.875
Li 0.000 0.500 0.125
Li 0.000 0.500 0.313
Li 0.000 0.500 0.500
Li 0.000 0.500 0.687
Li 0.000 0.500 0.875
Zn 0.000 0.000 0.219
Zn 0.000 0.000 0.405
Zn 0.000 0.000 0.595
Zn 0.000 0.000 0.781

Calculated values
* raw total energy: -36.274 eV/f.u.
* SG: P4/mmm, No. 123
* crystal system: tetragonal



Density functional theory data (PBE) for a relaxed structure of NaLi5Zn.

Cell lengths 4.088, 4.088, 9.194 Å; angles 90.00, 90.00, 90.00 degrees
Atoms (fractional coordinates):
Na 0.000 0.000 0.000
Li 0.500 0.000 0.285
Li 0.000 0.500 0.285
Li 0.000 0.000 0.500
Li 0.000 0.500 0.715
Li 0.500 0.000 0.715
Zn 0.500 0.500 0.500

Calculated values
* raw total energy: -12.097 eV/f.u.
* SG: P4/mmm, No. 123
* crystal system: tetragonal



Density functional theory data (PBE) for a relaxed structure of NaLiZn11.

Cell lengths 5.313, 6.876, 6.839 Å; angles 80.58, 67.14, 65.09 degrees
Atoms (fractional coordinates):
Na 0.000 0.000 0.000
Li 0.500 0.500 0.000
Zn 0.281 0.221 0.218
Zn 0.719 0.779 0.782
Zn 0.502 0.779 0.218
Zn 0.498 0.221 0.782
Zn 0.376 0.647 0.648
Zn 0.624 0.353 0.352
Zn 0.976 0.353 0.648
Zn 0.024 0.647 0.352
Zn 0.000 0.500 0.000
Zn 0.500 0.000 0.500
Zn 0.000 0.000 0.500

Calculated values
* raw total energy: -17.849 eV/f.u.
* SG: C2/m, No. 12
* crystal system: monoclinic



Density functional theory data (PBE) for a relaxed structure of Na2LiZn.

Cell lengths 3.364, 3.364, 10.721 Å; angles 80.97, 80.97, 60.00 degrees
Atoms (fractional coordinates):
Na 0.078 0.078 0.765
Na 0.255 0.255 0.235
Li 0.500 0.500 0.499
Zn 0.666 0.666 0.001

Calculated values
* raw total energy: -5.346 eV/f.u.
* SG: R3m, No. 160
* crystal system: trigonal



Density functional theory data (PBE) for a relaxed structure of NaLi3Zn2.

Cell lengths 5.293, 6.724, 6.724 Å; angles 85.51, 90.00, 90.00 degrees
Atoms (fractional coordinates):
Na 0.750 0.615 0.385
Na 0.250 0.385 0.615
Li 0.250 0.578 0.083
Li 0.250 0.917 0.422
Li 0.750 0.422 0.917
Li 0.250 0.057 0.943
Li 0.750 0.943 0.057
Li 0.750 0.083 0.578
Zn 0.500 0.233 0.233
Zn 0.000 0.233 0.233
Zn 0.000 0.767 0.767
Zn 0.500 0.767 0.767

Calculated values
* raw total energy: -9.932 eV/f.u.
* SG: Cmcm, No. 63
* crystal system: orthorhombic



no.,spin magnetization (μB/f.u.),formation energy (meV/atom),D(E_F) (states/eV per atom)
1,1.252,909,1.4337
2,0.000,454,0.8844
3,0.000,194,0.6315
4,0.001,-58,0.3801
5,0.000,9,0.3774
6,0.000,-46,0.2252
7,0.000,120,0.7057
8,0.000,-54,0.2853